[1]
MnSiB3 after structural relaxation, computed with PBEsol.

* uncorrected formation energy: 1.03 eV/atom
* total energy: -31.389 eV per formula unit
* volume: 11.0 Å³/atom

Unit cell a=3.799 b=3.799 c=3.799 alpha=90.00 beta=90.00 gamma=90.00
Sites, in units of the cell vectors:
1 Mn 0.000 0.000 0.000
2 Si 0.500 0.500 0.500
3 B 0.000 0.000 0.500
4 B 0.000 0.500 0.000
5 B 0.500 0.000 0.000

***

[2]
TiMnSnB2 after structural relaxation, computed with PBEsol.

* total energy: -29.363 eV per formula unit
* DFT formation energy: 135 kJ/mol of atoms
* volume: 17.7 Å³/atom

Unit cell a=4.179 b=4.179 c=5.054 alpha=90.00 beta=90.00 gamma=90.00
Sites, in units of the cell vectors:
1 Ti 0.000 0.000 0.000
2 Mn 0.500 0.500 0.500
3 Sn 0.000 0.000 0.500
4 B 0.000 0.500 0.000
5 B 0.500 0.000 0.000

***

[3]
TaMnB2 after structural relaxation, computed with PBEsol.

* total energy: -35.495 eV per formula unit
* DFT formation energy: 21 kJ/mol of atoms
* volume: 11.0 Å³/atom

Unit cell a=7.481 b=7.481 c=7.481 alpha=152.69 beta=152.69 gamma=39.00
Sites, in units of the cell vectors:
1 Ta 0.375 0.625 0.750
2 Ta 0.625 0.375 0.250
3 Mn 0.125 0.875 0.250
4 Mn 0.875 0.125 0.750
5 B 0.000 0.000 0.000
6 B 0.000 0.000 0.500
7 B 0.000 0.500 0.000
8 B 0.500 0.000 0.500

***

[4]
MnB3Te after structural relaxation, computed with PBEsol.

* uncorrected formation energy: 1.29 eV/atom
* total energy: -27.879 eV per formula unit
* volume: 12.5 Å³/atom

Unit cell a=3.973 b=3.973 c=3.973 alpha=90.00 beta=90.00 gamma=90.00
Sites, in units of the cell vectors:
1 Mn 0.000 0.000 0.000
2 B 0.000 0.000 0.500
3 B 0.000 0.500 0.000
4 B 0.500 0.000 0.000
5 Te 0.500 0.500 0.500

***

[5]
Ti2MnB after structural relaxation, computed with PBEsol.

* total energy: -32.437 eV per formula unit
* DFT formation energy: 24 kJ/mol of atoms
* volume: 12.6 Å³/atom

Unit cell a=5.269 b=5.269 c=5.269 alpha=100.01 beta=100.01 gamma=130.71
Sites, in units of the cell vectors:
1 Ti 0.071 0.125 0.446
2 Ti 0.375 0.929 0.054
3 Ti 0.679 0.625 0.554
4 Ti 0.875 0.321 0.946
5 Mn 0.250 0.750 0.500
6 Mn 0.500 0.500 0.000
7 B 0.000 0.000 0.000
8 B 0.750 0.250 0.500

***

[6]
TmMnB4 after structural relaxation, computed with PBEsol.

* total energy: -47.205 eV per formula unit
* DFT formation energy: -72 kJ/mol of atoms
* volume: 9.1 Å³/atom

Unit cell a=5.834 b=11.280 c=3.319 alpha=90.00 beta=90.00 gamma=90.00
Sites, in units of the cell vectors:
1 Tm 0.126 0.150 0.000
2 Tm 0.374 0.650 0.000
3 Tm 0.626 0.350 0.000
4 Tm 0.874 0.850 0.000
5 Mn 0.128 0.416 0.000
6 Mn 0.372 0.916 0.000
7 Mn 0.628 0.084 0.000
8 Mn 0.872 0.584 0.000
9 B 0.025 0.692 0.500
10 B 0.113 0.547 0.500
11 B 0.137 0.968 0.500
12 B 0.218 0.816 0.500
13 B 0.282 0.316 0.500
14 B 0.363 0.468 0.500
15 B 0.387 0.047 0.500
16 B 0.475 0.192 0.500
17 B 0.525 0.808 0.500
18 B 0.613 0.953 0.500
19 B 0.637 0.532 0.500
20 B 0.718 0.684 0.500
21 B 0.782 0.184 0.500
22 B 0.863 0.032 0.500
23 B 0.887 0.453 0.500
24 B 0.975 0.308 0.500